one | This record from OQMD via LeMat-Bulk describes crystalline BaLuNO at its relaxed geometry. The functional is PBE.

Structure (POSCAR):
```
BaLuNO
1.0
3.881 0.000 0.000
0.000 7.025 0.000
0.000 0.000 6.118
Ba Lu N O
2 2 2 2
Direct
0.000 0.182 0.000
0.000 0.818 0.500
0.500 0.346 0.506
0.500 0.654 0.006
0.500 0.380 0.852
0.500 0.620 0.352
0.000 0.204 0.444
0.000 0.796 0.944
```

Results
M_tot ... 0.00 μB/f.u.

***

two | This record from OQMD via LeMat-Bulk describes crystalline BaLuNO at its relaxed geometry. The functional is PBE.

Structure (POSCAR):
```
BaLuNO
1.0
4.510 0.000 0.000
0.000 4.510 0.000
0.000 0.000 8.819
Ba Lu N O
2 2 2 2
Direct
0.250 0.250 0.126
0.750 0.750 0.874
0.250 0.750 0.500
0.750 0.250 0.500
0.250 0.250 0.534
0.750 0.750 0.466
0.250 0.750 0.000
0.750 0.250 0.000
```

Results
M_tot ... 0.00 μB/f.u.

***

three | This record from OQMD via LeMat-Bulk describes crystalline BaLuNO at its relaxed geometry. The functional is PBE.

Structure (POSCAR):
```
BaLuNO
1.0
6.811 0.000 0.000
0.000 8.260 0.000
0.000 0.000 5.793
Ba Lu N O
4 4 4 4
Direct
0.073 0.148 0.000
0.427 0.148 0.500
0.573 0.852 0.000
0.927 0.852 0.500
0.088 0.605 0.995
0.412 0.605 0.495
0.588 0.395 0.995
0.912 0.395 0.495
0.108 0.586 0.619
0.392 0.586 0.119
0.608 0.414 0.619
0.892 0.414 0.119
0.040 0.158 0.539
0.460 0.158 0.039
0.540 0.842 0.539
0.960 0.842 0.039
```

Results
M_tot ... 0.00 μB/f.u.

***

Least stable structure: two

***

one | This record from OQMD via LeMat-Bulk describes crystalline BaNaLuSe3 at its relaxed geometry. The functional is PBE.

Structure (POSCAR):
```
BaNaLuSe3
1.0
8.635 0.000 0.000
0.000 4.329 0.000
-2.850 0.000 9.167
Ba Na Lu Se
2 2 2 6
Direct
0.223 0.250 0.250
0.777 0.750 0.750
0.091 0.250 0.588
0.909 0.750 0.412
0.324 0.750 0.848
0.676 0.250 0.152
0.111 0.250 0.875
0.262 0.750 0.536
0.457 0.750 0.151
0.543 0.250 0.849
0.738 0.250 0.464
0.889 0.750 0.125
```

Results
M_tot ... 0.00 μB/f.u.

***

two | This record from OQMD via LeMat-Bulk describes crystalline BaNaLuSe3 at its relaxed geometry. The functional is PBE.

Structure (POSCAR):
```
BaNaLuSe3
1.0
2.184 -7.110 0.000
2.184 7.110 0.000
0.000 0.000 10.743
Ba Na Lu Se
2 2 2 6
Direct
0.247 0.753 0.750
0.753 0.247 0.250
0.029 0.971 0.250
0.971 0.029 0.750
0.500 0.500 0.000
0.500 0.500 0.500
0.132 0.868 0.042
0.132 0.868 0.458
0.423 0.577 0.250
0.577 0.423 0.750
0.868 0.132 0.542
0.868 0.132 0.958
```

Results
M_tot ... 0.01 μB/f.u.

***

Least stable structure: two

***

one | This record from OQMD via LeMat-Bulk describes crystalline BaNaLuTe3 at its relaxed geometry. The functional is PBE.

Structure (POSCAR):
```
BaNaLuTe3
1.0
15.355 0.000 0.000
0.000 4.608 0.000
0.000 0.000 11.577
Ba Na Lu Te
4 4 4 12
Direct
0.235 0.250 0.047
0.265 0.750 0.547
0.735 0.250 0.453
0.765 0.750 0.953
0.005 0.750 0.092
0.495 0.250 0.592
0.505 0.750 0.408
0.995 0.250 0.908
0.018 0.250 0.336
0.482 0.750 0.836
0.518 0.250 0.164
0.982 0.750 0.664
0.096 0.250 0.573
0.114 0.750 0.867
0.145 0.750 0.267
0.355 0.250 0.767
0.386 0.250 0.367
0.404 0.750 0.073
0.596 0.250 0.927
0.614 0.750 0.633
0.645 0.750 0.233
0.855 0.250 0.733
0.886 0.250 0.133
0.904 0.750 0.427
```

Results
M_tot ... 0.00 μB/f.u.

***

two | This record from OQMD via LeMat-Bulk describes crystalline BaNaLuTe3 at its relaxed geometry. The functional is PBE.

Structure (POSCAR):
```
BaNaLuTe3
1.0
2.319 -7.570 0.000
2.319 7.570 0.000
0.000 0.000 11.473
Ba Na Lu Te
2 2 2 6
Direct
0.247 0.753 0.750
0.753 0.247 0.250
0.471 0.529 0.250
0.529 0.471 0.750
0.000 0.000 0.000
0.000 0.000 0.500
0.082 0.918 0.250
0.363 0.637 0.041
0.363 0.637 0.459
0.637 0.363 0.541
0.637 0.363 0.959
0.918 0.082 0.750
```

Results
M_tot ... 0.00 μB/f.u.

***

Least stable structure: two

***

one | This record from OQMD via LeMat-Bulk describes crystalline BaLu2O4 at its relaxed geometry. The functional is PBE.

Structure (POSCAR):
```
BaLu2O4
1.0
0.000 4.877 4.877
4.877 0.000 4.877
4.877 4.877 0.000
Ba Lu O
2 4 8
Direct
0.125 0.125 0.125
0.875 0.875 0.875
0.000 0.500 0.500
0.500 0.000 0.500
0.500 0.500 0.000
0.500 0.500 0.500
0.272 0.272 0.272
0.272 0.272 0.684
0.272 0.684 0.272
0.316 0.728 0.728
0.684 0.272 0.272
0.728 0.316 0.728
0.728 0.728 0.316
0.728 0.728 0.728
```

Results
M_tot ... 0.00 μB/f.u.

***

two | This record from OQMD via LeMat-Bulk describes crystalline BaLu2O4 at its relaxed geometry. The functional is PBE.

Structure (POSCAR):
```
BaLu2O4
1.0
5.968 0.000 0.000
-2.984 5.169 0.000
0.000 0.000 8.973
Ba Lu O
2 4 8
Direct
0.000 0.000 0.250
0.000 0.000 0.750
0.333 0.667 0.030
0.333 0.667 0.470
0.667 0.333 0.530
0.667 0.333 0.970
0.000 0.308 0.500
0.000 0.692 0.000
0.308 0.000 0.500
0.308 0.308 0.000
0.333 0.667 0.250
0.667 0.333 0.750
0.692 0.000 0.000
0.692 0.692 0.500
```

Results
M_tot ... 0.00 μB/f.u.

***

Least stable structure: two